{
  "formula": "LaSiHg2Ge",
  "functional": "SCAN",
  "state": "single point on PBEsol structure",
  "cell": [[5.714, 0.000, 0.000], [0.000, 5.714, 0.000], [0.000, 0.000, 5.456]],
  "species": ["La", "Si", "Hg", "Hg", "Ge"],
  "fractional_positions": [[0.000, 0.000, 0.000], [0.000, 0.000, 0.500], [0.000, 0.500, 0.000], [0.500, 0.000, 0.000], [0.500, 0.500, 0.500]],
  "magmom_total_mub_per_cell": 0.00,
  "dft_energy_ev_per_atom": -40.7013,
  "sg": "P4/mmm",
  "e_form_raw_kcal_per_mol_atoms": 23.2
}